No. 1
First-principles (GGA-PBE) data for a relaxed structure of Hf2TePb, as listed in Alexandria.

Cell lengths 6.5411, 6.5411, 7.9519 Å; angles 65.71, 65.71, 90.00 degrees
Last column: nearest neighbours and their distance in Å.
Sites, in units of the cell vectors:
Pb 0.0000 0.0000 0.0000  4 Hf 2.82
Pb 0.7500 0.2500 0.5000  4 Hf 2.82
Te 0.2500 0.7500 0.5000  4 Hf 2.83
Te 0.5000 0.5000 0.0000  4 Hf 2.83
Hf 0.1232 0.6250 0.2500  2 Pb 2.82, 2 Te 2.83
Hf 0.6268 0.1250 0.2500  2 Pb 2.82, 2 Te 2.83
Hf 0.3750 0.3732 0.7500  2 Pb 2.82, 2 Te 2.83
Hf 0.8750 0.8768 0.7500  2 Pb 2.82, 2 Te 2.83

Total magnetization: 0.00 Bohr magnetons per cell
Raw formation energy: 0.546 eV per atom
Excess energy over the best structure of this formula in the dataset: 615 meV per atom

---

No. 2
First-principles (GGA-PBE) data for a relaxed structure of RbHg2I, as listed in Alexandria.

Cell lengths 5.1800, 5.1858, 12.9393 Å; angles 90.00, 101.74, 90.00 degrees
Last column: nearest neighbours and their distance in Å.
Sites, in units of the cell vectors:
I 0.3258 0.2500 0.6476  5 Rb 3.66-3.71
I 0.6742 0.7500 0.3524  5 Rb 3.66-3.71
Hg 0.5471 0.2500 0.0926  8 Hg 3.50-3.67
Hg 0.0469 0.7500 0.0947  8 Hg 3.51-3.67
Hg 0.4529 0.7500 0.9074  8 Hg 3.50-3.67
Hg 0.9531 0.2500 0.9053  8 Hg 3.51-3.67
Rb 0.1755 0.2500 0.3551  5 I 3.66-3.71
Rb 0.8245 0.7500 0.6449  5 I 3.66-3.71

Total magnetization: 0.00 Bohr magnetons per cell
Raw formation energy: -0.704 eV per atom
Excess energy over the best structure of this formula in the dataset: 0 meV per atom

---

No. 3
First-principles (GGA-PBE) data for a relaxed structure of CaPSe2, as listed in Alexandria.

Cell lengths 7.1907, 7.1907, 7.1907 Å; angles 33.18, 33.18, 33.18 degrees
Last column: nearest neighbours and their distance in Å.
Sites, in units of the cell vectors:
P 0.7312 0.7312 0.7312  3 Se 2.55
Se 0.0184 0.0184 0.0184  3 P 2.55
Se 0.2458 0.2458 0.2458  3 Ca 2.81
Ca 0.5046 0.5046 0.5046  3 Se 2.81

Total magnetization: 0.00 Bohr magnetons per cell
Raw formation energy: -0.438 eV per atom

---

No. 4
First-principles (GGA-PBE) data for a relaxed structure of Sm3AgPt2, as listed in Alexandria.

Cell lengths 3.6343, 5.1010, 8.0068 Å; angles 108.57, 90.00, 90.00 degrees
Last column: nearest neighbours and their distance in Å.
Sites, in units of the cell vectors:
Sm 0.5000 0.8258 0.6517  6 Pt 3.10-3.14, 2 Ag 3.21, 2 Sm 3.44
Sm 0.5000 0.5000 0.0000  4 Pt 3.04, 4 Ag 3.13
Sm 0.5000 0.1742 0.3483  6 Pt 3.10-3.14, 2 Ag 3.21, 2 Sm 3.44
Pt 0.0000 0.6602 0.3203  8 Sm 3.04-3.14
Pt 0.0000 0.3398 0.6797  8 Sm 3.04-3.14
Ag 0.0000 0.0000 0.0000  8 Sm 3.13-3.21

Total magnetization: 0.00 Bohr magnetons per cell
Excess energy over the best structure of this formula in the dataset: 0 meV per atom
Energy of formation: -842 meV/atom

---

No. 5
First-principles (GGA-PBE) data for a relaxed structure of CeFe6Ge6, as listed in Alexandria.

Cell lengths 5.1334, 6.5667, 6.5667 Å; angles 77.38, 66.99, 66.99 degrees
Last column: nearest neighbours and their distance in Å.
Sites, in units of the cell vectors:
Ce 0.0000 0.0000 0.0000  8 Ge 2.86-3.01
Fe 0.0000 0.0000 0.5000  6 Ge 2.52-2.69, 4 Fe 2.56-2.57
Fe 0.5000 0.7484 0.2516  6 Ge 2.49-2.69, 4 Fe 2.56
Fe 0.0000 0.5000 0.0000  6 Ge 2.52-2.69, 4 Fe 2.56-2.57
Fe 0.5000 0.5000 0.0000  6 Ge 2.52-2.69, 4 Fe 2.56-2.57
Fe 0.5000 0.2516 0.7484  6 Ge 2.49-2.69, 4 Fe 2.56
Fe 0.5000 0.0000 0.5000  6 Ge 2.52-2.69, 4 Fe 2.56-2.57
Ge 0.6729 0.8271 0.8271  6 Fe 2.52-2.57
Ge 0.3271 0.1729 0.1729  6 Fe 2.52-2.57
Ge 0.3389 0.6611 0.6611  6 Fe 2.49-2.55
Ge 0.0000 0.6513 0.3487  1 Ge 2.48, 6 Fe 2.69
Ge 0.0000 0.3487 0.6513  1 Ge 2.48, 6 Fe 2.69
Ge 0.6611 0.3389 0.3389  6 Fe 2.49-2.55

Total magnetization: 11.08 Bohr magnetons per cell
Energy of formation: -258 meV/atom

---

No. 6
First-principles (GGA-PBE) data for a relaxed structure of CsFeCu2Cl8, as listed in Alexandria.

Cell lengths 6.5170, 6.5170, 10.2705 Å; angles 71.50, 71.50, 60.00 degrees
Last column: nearest neighbours and their distance in Å.
Sites, in units of the cell vectors:
Cl 0.8553 0.5142 0.3384  1 Cu 2.26, 1 Fe 2.41
Cl 0.4858 0.1447 0.6616  1 Cu 2.26, 1 Fe 2.41
Cl 0.1447 0.7079 0.6616  1 Cu 2.26, 1 Fe 2.41
Cl 0.2921 0.8553 0.3384  1 Cu 2.26, 1 Fe 2.41
Cl 0.7079 0.4858 0.6616  1 Cu 2.26, 1 Fe 2.41
Cl 0.6831 0.6831 0.9506  1 Cu 2.19
Cl 0.3169 0.3169 0.0494  1 Cu 2.19
Cl 0.5142 0.2921 0.3384  1 Cu 2.26, 1 Fe 2.41
Cu 0.2405 0.2405 0.2784  4 Cl 2.19-2.26
Cu 0.7595 0.7595 0.7216  4 Cl 2.19-2.26
Cs 0.0000 0.0000 0.0000  12 Cl 3.79-4.11
Fe 0.5000 0.5000 0.5000  6 Cl 2.41

Total magnetization: 2.91 Bohr magnetons per cell
Raw formation energy: -0.734 eV per atom

---

No. 7
First-principles (GGA-PBE) data for a relaxed structure of Y2MnHPd6, as listed in Alexandria.

Cell lengths 6.8781, 5.6859, 5.6838 Å; angles 60.03, 65.58, 90.02 degrees
Last column: nearest neighbours and their distance in Å.
Sites, in units of the cell vectors:
H 0.4997 0.4999 0.0002  6 Pd 1.99-2.00
Pd 0.6873 0.2287 0.0410  1 H 2.00
Pd 0.3128 0.7714 0.9589  1 H 2.00
Pd 0.6888 0.7290 0.0399  1 H 1.99
Pd 0.3130 0.2713 0.4589  1 H 2.00
Pd 0.6870 0.7287 0.5411  1 H 2.00
Pd 0.3112 0.2710 0.9600  1 H 1.99
Mn 0.0000 0.0000 0.0000  6 Pd 2.50
Y 0.8354 0.2783 0.4424  9 Pd 2.98-3.32
Y 0.1647 0.7218 0.5575  9 Pd 2.98-3.32

Total magnetization: 4.10 Bohr magnetons per cell
Total energy: -6.238 eV/atom

---

No. 8
First-principles (GGA-PBE) data for a relaxed structure of Ca6Sn2BrN, as listed in Alexandria.

Cell lengths 7.3170, 7.3170, 7.3170 Å; angles 60.00, 60.00, 60.00 degrees
Last column: nearest neighbours and their distance in Å.
Sites, in units of the cell vectors:
Sn 0.2500 0.2500 0.2500  12 Ca 3.67
Sn 0.7500 0.7500 0.7500  12 Ca 3.67
Ca 0.7721 0.2279 0.2279  1 N 2.36
Ca 0.2279 0.7721 0.7721  1 N 2.36
Ca 0.7721 0.7721 0.2279  1 N 2.36
Ca 0.7721 0.2279 0.7721  1 N 2.36
Ca 0.2279 0.2279 0.7721  1 N 2.36
Ca 0.2279 0.7721 0.2279  1 N 2.36
N 0.0000 0.0000 0.0000  6 Ca 2.36
Br 0.5000 0.5000 0.5000  6 Ca 2.82

Total magnetization: 0.00 Bohr magnetons per cell
Raw formation energy: -0.895 eV per atom

---

No. 9
First-principles (GGA-PBE) data for a relaxed structure of Sc2FeGe3, as listed in Alexandria.

Cell lengths 4.2007, 5.4469, 5.9682 Å; angles 117.15, 110.61, 90.00 degrees
Last column: nearest neighbours and their distance in Å.
Sites, in units of the cell vectors:
Sc 0.6847 0.1847 0.3693  6 Ge 2.75-2.77
Sc 0.3153 0.8153 0.6307  6 Ge 2.75-2.77
Fe 0.0000 0.5000 0.0000  6 Ge 2.47-2.72
Ge 0.3660 0.3660 0.7320  2 Fe 2.47, 1 Ge 2.61, 4 Sc 2.75-2.77
Ge 0.0000 0.0000 0.0000  2 Fe 2.72, 4 Sc 2.77
Ge 0.6340 0.6340 0.2680  2 Fe 2.47, 1 Ge 2.61, 4 Sc 2.75-2.77

Total magnetization: 2.49 Bohr magnetons per cell
Energy of formation: -329 meV/atom

---

No. 10
First-principles (GGA-PBE) data for a relaxed structure of Dy2Ni2Ir, as listed in Alexandria.

Cell lengths 5.1552, 5.1552, 7.9545 Å; angles 78.16, 78.16, 61.46 degrees
Last column: nearest neighbours and their distance in Å.
Sites, in units of the cell vectors:
Dy 0.2189 0.4814 0.6522  6 Ni 2.79-3.08, 2 Ir 2.98-3.02
Dy 0.4814 0.2189 0.1522  6 Ni 2.79-3.08, 2 Ir 2.98-3.02
Dy 0.7811 0.5186 0.3478  6 Ni 2.79-3.08, 2 Ir 2.98-3.02
Dy 0.5186 0.7811 0.8478  6 Ni 2.79-3.08, 2 Ir 2.98-3.02
Ni 0.9954 0.7451 0.9984  2 Ni 2.50-2.66, 2 Ir 2.54-2.55, 1 Dy 2.79
Ni 0.7451 0.9954 0.4984  2 Ni 2.50-2.66, 2 Ir 2.54-2.55, 1 Dy 2.79
Ni 0.2549 0.0046 0.5016  2 Ni 2.50-2.66, 2 Ir 2.54-2.55, 1 Dy 2.79
Ni 0.0046 0.2549 0.0016  2 Ni 2.50-2.66, 2 Ir 2.54-2.55, 1 Dy 2.79
Ir 0.1665 0.8335 0.2500  4 Ni 2.54-2.55
Ir 0.8335 0.1665 0.7500  4 Ni 2.54-2.55

Total magnetization: 0.00 Bohr magnetons per cell
Energy of formation: -580 meV/atom

---

No. 11
First-principles (GGA-PBE) data for a relaxed structure of Al2Ga3Fe9, as listed in Alexandria.

Cell lengths 4.1387, 11.5594, 7.2176 Å; angles 143.20, 106.66, 90.00 degrees
Last column: nearest neighbours and their distance in Å.
Sites, in units of the cell vectors:
Fe 0.3076 0.9135 0.6152  5 Fe 2.41-2.64, 2 Ga 2.60, 1 Al 2.63
Fe 0.8423 0.0521 0.6846  6 Fe 2.39-2.67, 3 Al 2.59-2.60
Fe 0.0000 0.5000 0.0000  4 Ga 2.47, 4 Fe 2.64
Fe 0.3076 0.7017 0.6152  5 Fe 2.41-2.64, 2 Ga 2.60, 1 Al 2.63
Fe 0.6924 0.0865 0.3848  5 Fe 2.41-2.64, 2 Ga 2.60, 1 Al 2.63
Fe 0.1577 0.3674 0.3154  6 Fe 2.39-2.67, 3 Al 2.59-2.60
Fe 0.8423 0.6326 0.6846  6 Fe 2.39-2.67, 3 Al 2.59-2.60
Fe 0.1577 0.9479 0.3154  6 Fe 2.39-2.67, 3 Al 2.59-2.60
Fe 0.6924 0.2983 0.3848  5 Fe 2.41-2.64, 2 Ga 2.60, 1 Al 2.63
Ga 0.0000 0.0000 0.0000  2 Ga 2.46, 4 Fe 2.70
Ga 0.6765 0.6765 0.3531  2 Ga 2.46-2.68, 8 Fe 2.47-2.73, 2 Al 2.72
Ga 0.3235 0.3235 0.6469  2 Ga 2.46-2.68, 8 Fe 2.47-2.73, 2 Al 2.72
Al 0.5000 0.7049 0.0000  8 Fe 2.59-2.63, 2 Ga 2.72
Al 0.5000 0.2951 0.0000  8 Fe 2.59-2.63, 2 Ga 2.72

Total magnetization: 18.91 Bohr magnetons per cell
Energy of formation: 34 meV/atom

---

No. 12
First-principles (GGA-PBE) data for a relaxed structure of ZnAsPbSe2, as listed in Alexandria.

Cell lengths 5.5627, 5.5627, 5.5736 Å; angles 90.00, 90.00, 90.00 degrees
Last column: nearest neighbours and their distance in Å.
Sites, in units of the cell vectors:
As 0.0000 0.0000 0.5000  2 Pb 2.79
Se 0.0000 0.5000 0.0000  2 Pb 2.78
Se 0.5000 0.0000 0.0000  2 Pb 2.78
Pb 0.0000 0.0000 0.0000  4 Se 2.78, 2 As 2.79
Zn 0.5000 0.5000 0.5000  4 As 3.93, 8 Se 3.94

Total magnetization: 1.35 Bohr magnetons per cell
Raw formation energy: 0.791 eV per atom
Excess energy over the best structure of this formula in the dataset: 610 meV per atom